Density functional theory data (GGA-PBE) for Na3NiH after structural relaxation.

Properties
The calculation puts the total magnetization at 0.0 μB/cell. The total energy is -2.289 eV per atom.

abc: 4.582 4.582 4.582
angles: 90.00 90.00 90.00
Fractional coordinates of all 5 atoms:
1 Na 0.000 0.000 0.500
2 Na 0.000 0.500 0.000
3 Na 0.500 0.000 0.000
4 Ni 0.500 0.500 0.500
5 H 0.000 0.000 0.000

***

Density functional theory data (GGA-PBE) for TiPSCl2 after structural relaxation.

Properties
The calculation puts the total magnetization at 3.0 μB/cell. For the formation energy (no corrections), the calculation gives -0.240 eV per atom.

abc: 4.815 4.815 4.825
angles: 90.00 90.00 90.00
Fractional coordinates of all 5 atoms:
1 Ti 0.000 0.000 0.000
2 P 0.500 0.500 0.500
3 S 0.000 0.000 0.500
4 Cl 0.000 0.500 0.000
5 Cl 0.500 0.000 0.000